Crystalline Nb4TcMo at its relaxed geometry, computed with PBE.

Unit cell a=4.400 b=4.401 c=6.239 alpha=89.94 beta=89.96 gamma=90.00
Fractional coordinates of all 6 atoms:
Nb (0.501, 0.997, 0.250)
Nb (0.501, 0.998, 0.746)
Nb (0.001, 0.497, 0.746)
Nb (0.001, 0.497, 0.250)
Tc (0.001, 0.997, 0.498)
Mo (0.501, 0.497, 0.998)

Summary:
The electronic total energy comes out at -58.53 eV/cell. The polymorph energy (0 for the lowest one) comes out at 696 meV/atom. The energy of formation from the pure elements comes out at 492 meV/atom. The symmetry is C2/m.